An optimized crystal structure of Dy7Cd2Os2. Source: the Alexandria database, functional PBE.

Properties
The formation energy is -0.149 eV/atom. Its size of the total moment is 0.00 μB/f.u.

Unit cell a=6.763 b=7.156 c=6.763 alpha=90.00 beta=106.16 gamma=90.00
Positions (direct):
Dy 0.500 0.760 0.500
Dy 0.500 0.240 0.500
Dy 0.000 0.751 0.500
Dy 0.000 0.000 0.000
Dy 0.500 0.249 0.000
Dy 0.000 0.249 0.500
Dy 0.500 0.751 0.000
Os 0.290 0.000 0.710
Os 0.710 0.000 0.290
Cd 0.176 0.500 0.176
Cd 0.824 0.500 0.824

***

An optimized crystal structure of YGa2SiPb. Source: the Alexandria database, functional PBE.

Properties
The value obtained for the formation energy without anion corrections is 0.43 kcal/mol of atoms. Its size of the total moment is 0.00 μB/f.u.

Unit cell a=4.802 b=5.538 c=4.802 alpha=90.00 beta=90.00 gamma=90.00
Positions (direct):
Ga 0.000 0.000 0.500
Ga 0.500 0.000 0.000
Si 0.000 0.000 0.000
Pb 0.500 0.500 0.500
Y 0.000 0.500 0.000

***

An optimized crystal structure of Tb3Pm5Sm4. Source: the Alexandria database, functional PBE.

Properties
The formation energy is 0.213 eV/atom. Its size of the total moment is 0.00 μB/f.u. Its distance to the lowest polymorph of the same formula is 19.3 kJ/mol of atoms.

Unit cell a=5.989 b=8.699 c=9.787 alpha=106.13 beta=72.18 gamma=69.86
Positions (direct):
Pm 0.374 0.051 0.201
Pm 0.215 0.458 0.112
Pm 0.785 0.542 0.888
Pm 0.500 0.500 0.500
Pm 0.626 0.949 0.799
Sm 0.837 0.948 0.378
Sm 0.163 0.052 0.622
Sm 0.141 0.777 0.941
Sm 0.859 0.223 0.059
Tb 0.520 0.689 0.272
Tb 0.480 0.311 0.728
Tb 0.000 0.500 0.500

***

An optimized crystal structure of ScRuRh2F. Source: the Alexandria database, functional PBE.

Properties
The value obtained for the formation energy without anion corrections is 1.05 kcal/mol of atoms. Its size of the total moment is 0.00 μB/f.u.

Unit cell a=4.760 b=3.962 c=4.760 alpha=90.00 beta=90.00 gamma=90.00
Positions (direct):
Rh 0.000 0.000 0.500
Rh 0.500 0.000 0.000
F 0.000 0.500 0.000
Sc 0.500 0.500 0.500
Ru 0.000 0.000 0.000

***

An optimized crystal structure of LaDy3Er6Th2. Source: the Alexandria database, functional PBE.

Properties
The formation energy is 0.030 eV/atom. Its size of the total moment is 0.00 μB/f.u.

Unit cell a=6.166 b=6.166 c=11.658 alpha=95.07 beta=95.07 gamma=119.97
Positions (direct):
Th 0.667 0.333 0.000
Th 0.333 0.667 0.000
Dy 0.166 0.834 0.500
Dy 0.834 0.166 0.500
Dy 0.500 0.500 0.500
Er 0.422 0.084 0.249
Er 0.578 0.916 0.751
Er 0.745 0.745 0.249
Er 0.916 0.578 0.751
Er 0.255 0.255 0.751
Er 0.084 0.422 0.249
La 0.000 0.000 0.000

***

An optimized crystal structure of TaNi2Mo. Source: the Alexandria database, functional PBE.

Properties
The formation energy is 0.014 eV/atom. Its size of the total moment is 0.00 μB/f.u. Its distance to the lowest polymorph of the same formula is 14.0 kJ/mol of atoms.

Unit cell a=3.248 b=3.248 c=5.312 alpha=90.00 beta=90.00 gamma=90.00
Positions (direct):
Ta 0.500 0.500 0.250
Ni 0.000 0.000 0.999
Ni 0.000 0.000 0.501
Mo 0.500 0.500 0.750

***

An optimized crystal structure of Tl2ReAg. Source: the Alexandria database, functional PBE.

Properties
The formation energy is 0.952 eV/atom. Its size of the total moment is 0.00 μB/f.u. Its distance to the lowest polymorph of the same formula is 20.6 kJ/mol of atoms.

Unit cell a=5.918 b=5.918 c=5.918 alpha=150.97 beta=122.60 gamma=65.60
Positions (direct):
Tl 0.494 0.494 0.000
Tl 0.006 0.006 0.000
Ag 0.750 0.250 0.500
Re 0.250 0.750 0.500

***

An optimized crystal structure of CaYBr3. Source: the Alexandria database, functional PBE.

Properties
The value obtained for the formation energy without anion corrections is -23.23 kcal/mol of atoms. Its size of the total moment is 1.77 μB/f.u.

Unit cell a=5.618 b=5.618 c=5.618 alpha=90.00 beta=90.00 gamma=90.00
Site moments in Bohr magnetons follow the coordinates.
Positions (direct):
Y 0.500 0.500 0.500  0.82
Br 0.500 0.000 0.000  0.02
Br 0.000 0.500 0.000  0.02
Br 0.000 0.000 0.500  0.02
Ca 0.000 0.000 0.000  0.00

***

An optimized crystal structure of SmPuFe2. Source: the Alexandria database, functional PBE.

Properties
The formation energy is 0.093 eV/atom. Its size of the total moment is 1.78 μB/f.u.

Unit cell a=3.344 b=3.344 c=6.904 alpha=90.00 beta=90.00 gamma=90.00
Site moments in Bohr magnetons follow the coordinates.
Positions (direct):
Pu 0.500 0.500 0.000  5.08
Sm 0.500 0.500 0.500  0.29
Fe 0.000 0.000 0.798  -1.98
Fe 0.000 0.000 0.202  -1.98

***

An optimized crystal structure of Zr2ScSb2. Source: the Alexandria database, functional PBE.

Properties
The value obtained for the formation energy without anion corrections is -9.26 kcal/mol of atoms. Its size of the total moment is 0.00 μB/f.u. Its distance to the lowest polymorph of the same formula is 29.4 kJ/mol of atoms.

Unit cell a=4.278 b=4.278 c=7.701 alpha=109.47 beta=109.47 gamma=89.22
Positions (direct):
Zr 0.752 0.248 0.500
Zr 0.248 0.752 0.500
Sb 0.574 0.574 0.207
Sb 0.426 0.426 0.793
Sc 0.000 0.000 0.000

***

An optimized crystal structure of Co2IrCl2. Source: the Alexandria database, functional PBE.

Properties
The value obtained for the formation energy without anion corrections is 18.04 kcal/mol of atoms. Its size of the total moment is 1.00 μB/f.u. Its distance to the lowest polymorph of the same formula is 0.0 kJ/mol of atoms.

Unit cell a=4.522 b=4.522 c=4.845 alpha=62.18 beta=62.18 gamma=90.00
Site moments in Bohr magnetons follow the coordinates.
Positions (direct):
Cl 0.308 0.308 0.383  0.01
Cl 0.692 0.692 0.617  0.01
Co 0.750 0.250 0.500  0.47
Co 0.250 0.750 0.500  0.47
Ir 0.000 0.000 0.000  0.04

***

An optimized crystal structure of GaRe3F. Source: the Alexandria database, functional PBE.

Properties
The value obtained for the formation energy without anion corrections is 32.94 kcal/mol of atoms. Its size of the total moment is 0.00 μB/f.u. Its distance to the lowest polymorph of the same formula is 0.0 kJ/mol of atoms.

Unit cell a=4.220 b=4.220 c=4.220 alpha=90.00 beta=90.00 gamma=90.00
Positions (direct):
Ga 0.500 0.500 0.500
Re 0.000 0.000 0.500
Re 0.000 0.500 0.000
Re 0.500 0.000 0.000
F 0.000 0.000 0.000

***

An optimized crystal structure of ZrAl3Pt. Source: the Alexandria database, functional PBE.

Properties
The formation energy is -0.030 eV/atom. Its size of the total moment is 0.00 μB/f.u. Its distance to the lowest polymorph of the same formula is 0.0 kJ/mol of atoms.

Unit cell a=4.709 b=4.709 c=4.709 alpha=90.00 beta=90.00 gamma=90.00
Positions (direct):
Al 0.000 0.500 0.000
Al 0.500 0.000 0.000
Al 0.000 0.000 0.500
Pt 0.000 0.000 0.000
Zr 0.500 0.500 0.500

***

An optimized crystal structure of LaEr2S. Source: the Alexandria database, functional PBE.

Properties
The value obtained for the formation energy without anion corrections is -17.86 kcal/mol of atoms. Its size of the total moment is 0.00 μB/f.u.

Unit cell a=3.633 b=3.633 c=10.436 alpha=79.98 beta=79.98 gamma=60.00
Positions (direct):
Er 0.887 0.887 0.340
Er 0.113 0.113 0.660
S 0.500 0.500 0.500
La 0.000 0.000 0.000

***

An optimized crystal structure of PrSmTlRu. Source: the Alexandria database, functional PBE.

Properties
The formation energy is -0.147 eV/atom. Its size of the total moment is 0.00 μB/f.u.

Unit cell a=5.241 b=5.241 c=5.241 alpha=60.00 beta=60.00 gamma=60.00
Positions (direct):
Tl 0.250 0.250 0.250
Ru 0.750 0.750 0.750
Sm 0.000 0.000 0.000
Pr 0.500 0.500 0.500

***

An optimized crystal structure of HfPaReIr. Source: the Alexandria database, functional PBE.

Properties
The formation energy is -0.389 eV/atom. Its size of the total moment is 0.00 μB/f.u.

Unit cell a=4.775 b=4.775 c=4.775 alpha=60.00 beta=60.00 gamma=60.00
Positions (direct):
Hf 0.500 0.500 0.500
Pa 0.000 0.000 0.000
Re 0.750 0.750 0.750
Ir 0.250 0.250 0.250

***

An optimized crystal structure of Pa2CoNi4As3. Source: the Alexandria database, functional PBE.

Properties
The formation energy is -0.592 eV/atom. Its size of the total moment is 0.53 μB/f.u.

Unit cell a=3.962 b=3.962 c=9.878 alpha=90.00 beta=90.00 gamma=90.00
Site moments in Bohr magnetons follow the coordinates.
Positions (direct):
Co 0.500 0.500 0.500  0.78
Ni 0.500 0.000 0.639  0.02
Ni 0.000 0.500 0.361  0.02
Ni 0.000 0.000 0.000  0.00
Ni 0.500 0.500 0.000  0.00
As 0.500 0.000 0.869  0.00
As 0.000 0.500 0.131  0.00
As 0.000 0.000 0.500  0.01
Pa 0.500 0.000 0.258  -0.12
Pa 0.000 0.500 0.742  -0.12

***

An optimized crystal structure of NdFeP2Rh. Source: the Alexandria database, functional PBE.

Properties
The formation energy is -0.963 eV/atom. Its size of the total moment is 0.00 μB/f.u.

Unit cell a=3.951 b=3.951 c=5.709 alpha=110.24 beta=110.24 gamma=90.00
Positions (direct):
Fe 0.250 0.750 0.500
Rh 0.750 0.250 0.500
P 0.375 0.375 0.750
P 0.625 0.625 0.250
Nd 0.000 0.000 0.000

***

An optimized crystal structure of Li3GaCu. Source: the Alexandria database, functional PBE.

Properties
The formation energy is -0.090 eV/atom. Its size of the total moment is 0.00 μB/f.u. Its distance to the lowest polymorph of the same formula is 9.1 kJ/mol of atoms.

Unit cell a=6.324 b=7.318 c=7.318 alpha=93.46 beta=104.23 gamma=104.23
Positions (direct):
Cu 0.750 0.979 0.021
Cu 0.750 0.328 0.672
Cu 0.250 0.021 0.979
Cu 0.250 0.672 0.328
Ga 0.331 0.223 0.582
Ga 0.831 0.582 0.223
Ga 0.169 0.418 0.777
Ga 0.669 0.777 0.418
Li 0.987 0.686 0.946
Li 0.939 0.043 0.699
Li 0.051 0.698 0.600
Li 0.061 0.957 0.301
Li 0.513 0.054 0.314
Li 0.013 0.314 0.054
Li 0.439 0.699 0.043
Li 0.561 0.301 0.957
Li 0.449 0.400 0.302
Li 0.949 0.302 0.400
Li 0.551 0.600 0.698
Li 0.487 0.946 0.686

***

An optimized crystal structure of Pr4HoTh. Source: the Alexandria database, functional PBE.

Properties
The formation energy is 0.202 eV/atom. Its size of the total moment is 0.00 μB/f.u. Its distance to the lowest polymorph of the same formula is 15.3 kJ/mol of atoms.

Unit cell a=3.492 b=6.130 c=10.449 alpha=86.13 beta=80.38 gamma=73.45
Positions (direct):
Pr 0.662 0.520 0.157
Pr 0.848 0.962 0.342
Pr 0.152 0.038 0.658
Pr 0.338 0.480 0.843
Th 0.500 0.500 0.500
Ho 0.000 0.000 0.000

***

An optimized crystal structure of AgPtSe2O8. Source: the Alexandria database, functional PBE.

Properties
The value obtained for the formation energy without anion corrections is -7.78 kcal/mol of atoms. Its size of the total moment is 1.03 μB/f.u.

Unit cell a=5.031 b=5.031 c=7.906 alpha=90.00 beta=90.00 gamma=120.00
Site moments in Bohr magnetons follow the coordinates.
Positions (direct):
Se 0.667 0.333 0.265  0.03
Se 0.333 0.667 0.735  0.03
O 0.688 0.019 0.333  0.05
O 0.312 0.981 0.667  0.05
O 0.667 0.333 0.055  0.04
O 0.333 0.667 0.945  0.04
O 0.332 0.312 0.333  0.05
O 0.668 0.688 0.667  0.05
O 0.981 0.668 0.333  0.05
O 0.019 0.332 0.667  0.05
Pt 0.000 0.000 0.500  0.52
Ag 0.000 0.000 0.000  0.00

***

An optimized crystal structure of Tb2Mn2Al2C. Source: the Alexandria database, functional PBE.

Properties
The formation energy is -0.199 eV/atom. Its size of the total moment is 2.10 μB/f.u.

Unit cell a=3.429 b=5.734 c=6.642 alpha=73.29 beta=90.01 gamma=72.60
Site moments in Bohr magnetons follow the coordinates.
Positions (direct):
Mn 0.183 0.634 0.058  1.24
Mn 0.817 0.366 0.942  1.24
Tb 0.492 0.015 0.741  -0.11
Tb 0.508 0.985 0.259  -0.11
Al 0.204 0.591 0.652  -0.01
Al 0.796 0.409 0.348  -0.01
C 0.000 0.000 0.000  -0.07